[1]
A plane-wave DFT calculation with PBE-GGA was carried out for a relaxed structure of MgRh2Cl.

a b c (Å): 5.511 3.606 3.606
angles (deg): 90.00 90.00 90.00
Element x y z (fractional)
1 Rh 0.000 0.500 0.500
2 Rh 0.000 0.000 0.000
3 Cl 0.500 0.500 0.000
4 Mg 0.500 0.000 0.500

Calculated values
volume	72	Å³ per cell
uncorrected formation energy	0.138	eV/atom



[2]
A plane-wave DFT calculation with PBE-GGA was carried out for a relaxed structure of MgRh2Cl.

a b c (Å): 4.529 4.529 4.529
angles (deg): 60.00 60.00 60.00
Element x y z (fractional)
1 Mg 0.750 0.750 0.750
2 Cl 0.500 0.500 0.500
3 Rh 0.000 0.000 0.000
4 Rh 0.250 0.250 0.250

Calculated values
volume	66	Å³ per cell
uncorrected formation energy	0.222	eV/atom



[3]
A plane-wave DFT calculation with PBE-GGA was carried out for a relaxed structure of MgRh2Cl.

a b c (Å): 4.377 4.377 6.603
angles (deg): 82.91 82.91 39.96
Element x y z (fractional)
1 Rh 0.958 0.958 0.968
2 Rh 0.701 0.701 0.840
3 Mg 0.224 0.224 0.208
4 Cl 0.617 0.617 0.484

Calculated values
volume	81	Å³ per cell
uncorrected formation energy	-0.159	eV/atom



> Which value of volume does entry 3 give?

81 Å³ per cell



Please write out number 3 again, unchanged.
A plane-wave DFT calculation with PBE-GGA was carried out for a relaxed structure of MgRh2Cl.

a b c (Å): 4.377 4.377 6.603
angles (deg): 82.91 82.91 39.96
Element x y z (fractional)
1 Rh 0.958 0.958 0.968
2 Rh 0.701 0.701 0.840
3 Mg 0.224 0.224 0.208
4 Cl 0.617 0.617 0.484

Calculated values
volume	81	Å³ per cell
uncorrected formation energy	-0.159	eV/atom